1.
A geometry-optimized Y3TlAg2Te6 structure. Source: the Alexandria database, functional PBE.

Computed properties:
Space group: C2/m

```
Y3TlAg2Te6
1.0
10.780 -2.256 0.000
10.780 2.256 0.000
-3.324 0.000 8.752
Y Tl Ag Te
3 1 2 6
Cartesian
0.000 0.000 0.000 Y
4.935 0.000 6.096 Y
13.301 0.000 2.657 Y
-1.662 0.000 4.376 Tl
4.872 0.000 2.600 Ag
13.364 0.000 6.152 Ag
3.051 0.000 0.565 Te
1.789 0.000 4.821 Te
7.910 0.000 6.687 Te
10.326 0.000 2.065 Te
16.446 0.000 3.931 Te
15.184 0.000 8.187 Te
```


2.
A geometry-optimized Sm3Dy2Ga4 structure. Source: the Alexandria database, functional PBE.

Computed properties:
Space group: C2/m
ΔE_f: -45 kJ per mole of atoms

```
Sm3Dy2Ga4
1.0
5.458 -2.237 0.000
5.458 2.237 0.000
-0.020 0.000 9.648
Sm Dy Ga
3 2 4
Cartesian
0.000 0.000 0.000 Sm
4.124 0.000 5.924 Sm
6.773 0.000 3.724 Sm
3.494 0.000 2.231 Dy
7.404 0.000 7.417 Dy
0.863 0.000 5.839 Ga
3.305 0.000 8.941 Ga
7.592 0.000 0.708 Ga
10.034 0.000 3.809 Ga
```


3.
A geometry-optimized KIrW2 structure. Source: the Alexandria database, functional PBE.

Computed properties:
Space group: P4/mmm
ΔE_f: 164 kJ per mole of atoms

```
KIrW2
1.0
3.941 0.000 0.000
0.000 3.941 0.000
0.000 0.000 4.667
K Ir W
1 1 2
Cartesian
0.000 0.000 0.000 K
1.970 1.970 0.000 Ir
0.000 1.970 2.333 W
1.970 0.000 2.333 W
```


4.
A geometry-optimized Pa2PN structure. Source: the Alexandria database, functional PBE.

Computed properties:
Space group: P4/mmm

```
Pa2PN
1.0
3.202 0.000 0.000
0.000 3.202 0.000
0.000 0.000 6.536
Pa P N
2 1 1
Cartesian
0.000 0.000 1.511 Pa
0.000 0.000 5.024 Pa
1.601 1.601 3.268 P
1.601 1.601 0.000 N
```


5.
A geometry-optimized Hf2ZrOs structure. Source: the Alexandria database, functional PBE.

Computed properties:
Space group: Cmcm
ΔE_f: -26 kJ per mole of atoms

```
Hf2ZrOs
1.0
3.325 0.000 0.000
0.000 11.420 0.000
0.000 0.000 8.711
Hf Zr Os
8 4 4
Cartesian
0.000 1.556 0.458 Hf
0.000 1.556 3.897 Hf
0.000 9.864 4.813 Hf
0.000 9.864 8.253 Hf
1.663 4.154 4.813 Hf
1.663 4.154 8.253 Hf
1.663 7.266 0.458 Hf
1.663 7.266 3.897 Hf
0.000 5.091 2.178 Zr
0.000 6.329 6.533 Zr
1.663 0.619 6.533 Zr
1.663 10.801 2.178 Zr
0.000 2.928 6.533 Os
0.000 8.492 2.178 Os
1.663 2.782 2.178 Os
1.663 8.638 6.533 Os
```


6.
A geometry-optimized Ba3Pu2PaP6 structure. Source: the Alexandria database, functional PBE.

Computed properties:
Space group: C2/m
ΔE_f: -103 kJ per mole of atoms

```
Ba3Pu2PaP6
1.0
3.668 -6.353 0.000
3.668 6.353 0.000
-2.444 0.000 7.233
Ba Pu Pa P
3 2 1 6
Cartesian
0.000 0.000 0.000 Ba
3.668 2.135 0.000 Ba
3.668 -2.135 0.000 Ba
2.446 4.238 3.617 Pu
2.446 -4.238 3.617 Pu
2.446 0.000 3.617 Pa
1.243 2.085 2.194 P
0.040 0.000 5.046 P
1.243 -2.085 2.194 P
3.650 2.085 5.040 P
4.852 0.000 2.187 P
3.650 -2.085 5.040 P
```


7.
A geometry-optimized Sm2ErRh2 structure. Source: the Alexandria database, functional PBE.

Computed properties:
Space group: Immm
ΔE_f: -64 kJ per mole of atoms

```
Sm2ErRh2
1.0
4.194 0.000 0.000
0.000 6.261 0.000
0.000 0.000 9.157
Sm Er Rh
4 2 4
Cartesian
0.000 0.000 1.795 Sm
0.000 0.000 7.362 Sm
2.097 3.131 2.784 Sm
2.097 3.131 6.373 Sm
0.000 3.131 0.000 Er
2.097 0.000 4.578 Er
0.000 1.746 4.578 Rh
0.000 4.515 4.578 Rh
2.097 1.385 0.000 Rh
2.097 4.876 0.000 Rh
```


8.
A geometry-optimized PuUPSe structure. Source: the Alexandria database, functional PBE.

Computed properties:
Space group: R3m

```
PuUPSe
1.0
3.992 0.000 0.000
-1.996 3.457 0.000
0.000 0.000 20.420
Pu U P Se
3 3 3 3
Cartesian
0.000 0.000 0.000 Pu
0.000 2.305 13.613 Pu
1.996 1.152 6.807 Pu
0.000 0.000 10.002 U
0.000 2.305 3.195 U
1.996 1.152 16.809 U
0.000 0.000 15.227 P
0.000 2.305 8.420 P
1.996 1.152 1.613 P
0.000 0.000 4.991 Se
0.000 2.305 18.604 Se
1.996 1.152 11.798 Se
```


Let's list energy in order: -57.4; -39.6; -29.1; -35.6; -163.0; -89.2; -64.1; -117.8 eV per cell.